Record 1
This record from the Alexandria database describes a relaxed structure of TbNdPu2N4. The functional is PBE.

Cell and atoms, written as extended XYZ:
```
8
Lattice="3.525 0.000 0.000 0.000 6.113 0.108 0.000 -2.133 5.685" Properties=species:S:1:pos:R:3 pbc="T T T"
N 0.000 -0.116 4.166
N 1.762 0.948 1.538
N 1.762 3.032 4.255
N 0.000 4.096 1.627
Tb 0.000 0.000 0.000
Pu 0.000 1.990 2.896
Pu 1.762 -1.066 2.842
Nd 1.762 3.056 0.054
```

## Properties
* crystal system: monoclinic
* formation energy from raw total energies: -11.1 eV/f.u.
* SG: P2/m (10)

Record 2
This record from the Alexandria database describes a relaxed structure of TaPOs2. The functional is PBE.

Cell and atoms, written as extended XYZ:
```
4
Lattice="-1.513 -1.462 2.003 2.418 -1.389 0.813 1.292 4.928 4.574" Properties=species:S:1:pos:R:3 pbc="T T T"
Os 0.270 1.029 0.955
Os 1.023 3.899 3.619
Ta 1.099 1.039 3.695
P 0.452 -1.425 1.408
```

## Properties
* crystal system: tetragonal
* formation enthalpy at 0 K: -0.18 eV/atom
* SG: P4/mmm (123)

Record 3
This record from the Alexandria database describes a relaxed structure of UPaFeRh. The functional is PBE.

Cell and atoms, written as extended XYZ:
```
4
Lattice="4.602 0.000 0.000 2.301 3.985 0.000 2.301 1.328 3.757" Properties=species:S:1:pos:R:3 pbc="T T T"
Pa 4.602 2.657 1.879
Fe 2.301 1.328 0.939
Rh 0.000 0.000 0.000
U 6.903 3.985 2.818
```

## Properties
* crystal system: cubic
* formation enthalpy at 0 K: -0.31 eV/atom
* SG: F-43m (216)

Record 4
This record from the Alexandria database describes a relaxed structure of Cs3NdDy2Se6. The functional is PBE.

Cell and atoms, written as extended XYZ:
```
12
Lattice="7.470 -0.001 0.000 -3.734 6.470 0.000 -1.246 -2.157 8.387" Properties=species:S:1:pos:R:3 pbc="T T T"
Cs 1.245 2.156 4.194
Cs -2.509 4.324 4.194
Cs 4.999 -0.012 4.194
Se 3.765 2.103 6.817
Se 2.550 0.000 1.571
Se -1.275 2.208 1.571
Se 0.029 0.050 6.823
Se 2.461 4.261 1.564
Se -0.060 4.312 6.817
Nd 0.000 0.000 0.000
Dy 3.737 2.155 0.000
Dy -0.001 4.314 0.000
```

## Properties
* crystal system: monoclinic
* formation energy from raw total energies: -20.7 eV/f.u.
* SG: C2/m (12)

Record 5
This record from the Alexandria database describes a relaxed structure of KTa2Co. The functional is PBE.

Cell and atoms, written as extended XYZ:
```
4
Lattice="-0.528 -3.952 -9.929 -2.559 -5.686 -8.696 -3.313 -3.030 -9.712" Properties=species:S:1:pos:R:3 pbc="T T T"
K -4.800 -9.501 -21.253
Co -1.600 -3.167 -7.084
Ta -6.269 -12.410 -27.759
Ta -3.330 -6.593 -14.747
```

## Properties
* crystal system: trigonal
* formation enthalpy at 0 K: 0.75 eV/atom
* SG: R-3m (166)
* offset from the most stable computed form: 0.2298 eV/atom

Record 6
This record from the Alexandria database describes a relaxed structure of NaMg2AlRh. The functional is PBE.

Cell and atoms, written as extended XYZ:
```
5
Lattice="-3.923 -0.018 -2.751 -0.253 -4.803 0.394 -2.739 0.464 3.903" Properties=species:S:1:pos:R:3 pbc="T T T"
Na 0.000 0.000 0.000
Mg -1.370 0.232 1.952
Mg -1.961 -0.009 -1.375
Al -0.127 -2.402 0.197
Rh -3.458 -2.179 0.773
```

## Properties
* crystal system: tetragonal
* formation enthalpy at 0 K: 1.14 eV/atom
* SG: P4/mmm (123)
* offset from the most stable computed form: 0.8950 eV/atom

Record 7
This record from the Alexandria database describes a relaxed structure of Dy5Ho3Th3. The functional is PBE.

Cell and atoms, written as extended XYZ:
```
11
Lattice="3.424 0.000 0.000 0.000 9.644 -5.568 0.000 0.000 11.136" Properties=species:S:1:pos:R:3 pbc="T T T"
Dy 1.712 3.282 -1.895
Dy 1.712 6.429 0.000
Dy 1.712 6.361 3.673
Dy 1.712 3.215 5.568
Dy 1.712 0.000 3.790
Th 3.424 3.900 2.252
Th 0.000 0.000 6.632
Th 0.000 5.744 -3.316
Ho 1.712 0.000 9.344
Ho 1.712 1.552 0.896
Ho 1.712 8.092 -4.672
```

## Properties
* crystal system: hexagonal
* formation enthalpy at 0 K: 0.39 eV/atom
* SG: P-62m (189)
* offset from the most stable computed form: 0.0000 eV/atom

Record 8
This record from the Alexandria database describes a relaxed structure of Nd2SmY6Tm. The functional is PBE.

Cell and atoms, written as extended XYZ:
```
20
Lattice="-8.569 -1.516 4.473 -2.971 -2.059 -8.026 4.301 -6.229 4.492" Properties=species:S:1:pos:R:3 pbc="T T T"
Sm -4.980 -2.515 -6.677
Sm -2.259 -7.290 7.616
Y -4.015 -8.234 4.625
Y -9.585 -4.834 -1.675
Y -0.974 -4.701 -2.905
Y -3.224 -1.570 -3.686
Y -6.265 -5.103 3.845
Y -6.457 -3.137 -2.927
Y -3.469 -4.645 5.504
Y -3.730 -6.336 1.961
Y -0.782 -6.667 3.866
Y 2.346 -4.970 2.614
Y -3.509 -3.469 -1.022
Y -3.770 -5.160 -4.565
Nd -3.981 -3.063 2.195
Nd -3.258 -6.742 -1.256
Nd -6.818 -7.915 2.227
Nd -0.421 -1.890 -1.288
Tm -0.799 -4.912 0.518
Tm -6.440 -4.893 0.421
```

## Properties
* crystal system: monoclinic
* formation enthalpy at 0 K: 0.11 eV/atom
* SG: C2/c (15)

Looking at N(E_F) for the records above, in order, we have 12.99 3.27 6.61 0.00 3.56 3.70 21.42 28.69 states/eV/cell.
Looking at theoretical density for the records above, in order, we have 11.41 17.03 15.13 5.50 9.65 3.02 9.05 5.72 g/cm³.